Entry 1:
Compound: ThMgCdBi
Source: Alexandria
Functional: PBE-GGA
Structure: relaxed

The calculation puts the total magnetization at 0.0 Bohr magnetons per cell. The energy relative to the lowest polymorph listed for this composition comes out at 0.000 eV/atom. As for the crystal system: orthorhombic. The calculated density comes out at 8.8 Mg/m³. For the energy of formation, the calculation gives -0.273 eV per atom.

It has space group Pmmm (No. 47), with a = 4.574 Å, b = 4.716 Å, c = 5.059 Å, α = 90.00°, β = 90.00° and γ = 90.00°. Symmetry generates all atoms from Th at (0.000, 0.000, 0.000), Mg at (0.000, 0.500, 0.500), Cd at (0.500, 0.000, 0.500) and Bi at (0.500, 0.500, 0.000).

---

Entry 2:
Compound: NdGdCuSn
Source: Alexandria
Functional: PBE-GGA
Structure: relaxed

The calculation puts the total magnetization at 31.4 Bohr magnetons per cell. As for the crystal system: cubic. The calculated density comes out at 7.8 Mg/m³. For the energy of formation, the calculation gives -0.433 eV per atom.

It has space group F-43m (No. 216), with a = 7.441 Å, b = 7.441 Å, c = 7.441 Å, α = 90.00°, β = 90.00° and γ = 90.00°. Symmetry generates all atoms from Nd at (0.000, 0.000, 0.000), Gd at (0.000, 0.000, 0.500), Cu at (0.250, 0.250, 0.750) and Sn at (0.250, 0.250, 0.250).

---

Entry 3:
Compound: AcTmTlAg
Source: Alexandria
Functional: PBE-GGA
Structure: relaxed

The calculation puts the total magnetization at 0.1 Bohr magnetons per cell. The energy relative to the lowest polymorph listed for this composition comes out at 0.000 eV/atom. As for the crystal system: tetragonal. The calculated density comes out at 10.3 Mg/m³. For the energy of formation, the calculation gives -0.303 eV per atom.

It has space group P4mm (No. 99), with a = 3.772 Å, b = 3.772 Å, c = 8.063 Å, α = 90.00°, β = 90.00° and γ = 90.00°. Symmetry generates all atoms from Ac at (0.000, 0.000, 0.000), Tm at (0.000, 0.000, 0.470), Tl at (0.500, 0.500, 0.708) and Ag at (0.500, 0.500, 0.282).

---

Entry 4:
Compound: SrLaBeCr2
Source: Alexandria
Functional: PBE-GGA
Structure: relaxed

The calculation puts the total magnetization at 7.5 Bohr magnetons per cell. As for the crystal system: tetragonal. The calculated density comes out at 3.8 Mg/m³. For the energy of formation, the calculation gives 1.353 eV per atom.

It has space group P4/mmm (No. 123), with a = 5.289 Å, b = 5.289 Å, c = 5.271 Å, α = 90.00°, β = 90.00° and γ = 90.00°. Symmetry generates all atoms from Sr at (0.000, 0.000, 0.000), La at (0.500, 0.500, 0.500), Be at (0.500, 0.500, 0.000) and Cr at (0.000, 0.500, 0.500).

---

Entry 5:
Compound: MgTl2Ge2
Source: Alexandria
Functional: PBE-GGA
Structure: relaxed

The calculation puts the total magnetization at 0.0 Bohr magnetons per cell. The energy relative to the lowest polymorph listed for this composition comes out at 0.186 eV/atom. As for the crystal system: tetragonal. The calculated density comes out at 7.4 Mg/m³. For the energy of formation, the calculation gives 0.290 eV per atom.

It has space group P4/mbm (No. 127), with a = 7.892 Å, b = 7.892 Å, c = 4.178 Å, α = 90.00°, β = 90.00° and γ = 90.00°. Symmetry generates all atoms from Mg at (0.000, 0.000, 0.000), Tl at (0.168, 0.332, 0.000) and Ge at (0.120, 0.620, 0.500).

---

Entry 6:
Compound: RbMn2Cl7
Source: Alexandria
Functional: PBE-GGA
Structure: relaxed

The calculation puts the total magnetization at 16.0 Bohr magnetons per cell. As for the formation energy from raw total energies: -983 kJ/mol of formula units. As for the crystal system: orthorhombic. The calculated density comes out at 2.6 Mg/m³.

It has space group Cmmm (No. 65), with a = 6.981 Å, b = 16.892 Å, c = 4.801 Å, α = 90.00°, β = 90.00° and γ = 90.00°. Symmetry generates all atoms from Rb at (0.000, 0.000, 0.000), Mn at (0.000, 0.253, 0.500), Cl at (0.000, 0.254, 0.000), Cl at (0.000, 0.500, 0.500) and Cl at (0.238, 0.151, 0.500).

---

Q: Which of these has the lowest calculated density?
A: RbMn2Cl7

---

Q: Which value of calculated density does entry 1 give?
A: 8.8 Mg/m³